A relaxed structure of Ni3Pd2Pt4, computed with PBE-GGA.

Cell: 7.596 7.596 6.485 Å, 96.88 96.88 20.57°
Sites, in units of the cell vectors:
Ni 0.000 0.000 0.000
Ni 0.108 0.108 0.378
Ni 0.892 0.892 0.622
Pd 0.339 0.339 0.950
Pd 0.661 0.661 0.050
Pt 0.281 0.281 0.338
Pt 0.457 0.457 0.307
Pt 0.543 0.543 0.693
Pt 0.719 0.719 0.662

Results
VASP energy, eV/atom: -5.75
Symmetry: C2/m (12)
Total magnetic moment, Bohr magnetons per cell: 4.22
Theoretical density, Mg/m³: 14.88
Calculated volume, Å³/cell: 130.48

=====

A relaxed structure of LiInCl2, computed with PBE-GGA.

Cell: 3.977 3.977 8.004 Å, 90.00 90.00 122.93°
Sites, in units of the cell vectors:
Li 0.000 0.000 0.000
In 0.000 0.000 0.500
Cl 0.500 0.500 0.206
Cl 0.500 0.500 0.794

Results
Uncorrected formation energy, eV per atom: -1.16
Symmetry: Cmmm (65)
Total magnetic moment, Bohr magnetons per cell: 0.00
E above lowest polymorph, eV/atom: 0.148
Theoretical density, Mg/m³: 3.01
Calculated volume, Å³/cell: 106.28

=====

A relaxed structure of Cs2B2PbSe6, computed with PBE-GGA.

Cell: 7.401 7.401 11.004 Å, 115.85 115.85 48.65°
Sites, in units of the cell vectors:
Cs 0.191 0.191 0.121
Cs 0.809 0.809 0.879
B 0.401 0.401 0.718
B 0.599 0.599 0.282
Pb 0.000 0.000 0.500
Se 0.246 0.739 0.248
Se 0.253 0.253 0.700
Se 0.261 0.754 0.752
Se 0.739 0.246 0.248
Se 0.747 0.747 0.300
Se 0.754 0.261 0.752

Results
Uncorrected formation energy, eV per atom: -0.46
Symmetry: C2/m (12)
Total magnetic moment, Bohr magnetons per cell: 0.00
Theoretical density, Mg/m³: 4.05
Calculated volume, Å³/cell: 397.32

=====

The highest theoretical density belongs to which entry?
Ni3Pd2Pt4